Compound: V2TcB
Source: Alexandria
Functional: PBE
Structure: relaxed

```
V2TcB
1.0
3.011 0.000 0.000
0.000 3.011 0.000
0.000 0.000 5.186
B Tc V
1 1 2
Direct
0.500 0.500 0.000
0.500 0.500 0.500
0.000 0.000 0.786
0.000 0.000 0.214
```

Energy above the lowest structure with this stoichiometry = 6 meV/atom
Formation energy = -0.178 eV/atom
Total energy = -35.99 eV/f.u.